## K3CoPCO7 (GGA+U)

Data for crystalline K3CoPCO7 at its relaxed geometry.

Computed properties:
* crystal system: triclinic
* uncorrected energy: -164.45 eV/cell
* SG: P1
* DOS(E_F): 0.0 states/eV/cell

Structure (extended XYZ):
```
26
Lattice="5.667 0.000 0.000 -0.018 6.990 0.000 -0.004 -0.117 9.526" Properties=species:S:1:pos:R:3 pbc="T T T"
K 0.000 0.000 0.000
K -0.007 5.021 3.459
K 0.012 1.659 3.508
K 2.800 5.136 7.408
K 2.840 1.511 7.320
K 2.835 3.284 1.321
Co 2.828 6.775 3.992
Co 5.651 3.357 6.866
P -0.002 6.829 6.195
P 2.816 3.350 4.647
C -0.003 3.279 9.415
C 2.817 6.886 1.431
O -0.005 1.116 7.089
O 0.005 3.310 1.174
O 1.107 3.367 8.721
O 1.293 6.820 5.331
O 1.520 3.344 5.511
O 1.704 6.856 2.126
O 2.812 6.974 0.146
O 2.817 4.607 3.720
O 2.860 2.077 3.757
O 3.933 6.838 2.117
O 4.059 3.388 5.582
O 4.419 6.820 5.264
O 4.549 3.274 8.723
O 5.644 5.574 7.118
```